Entry 1:
Compound: SrCeCdIn
Source: Alexandria
Functional: GGA-PBE
Structure: relaxed

abc: 5.5996 5.5996 5.5996
angles: 60.00 60.00 60.00
With the nearest neighbours (Å) after each atom.
Positions (direct):
Sr 0.0000 0.0000 0.0000  4 Cd 3.43, 4 In 3.43
Ce 0.5000 0.5000 0.5000  4 Cd 3.43, 4 In 3.43
Cd 0.7500 0.7500 0.7500  4 Ce 3.43, 4 Sr 3.43
In 0.2500 0.2500 0.2500  4 Ce 3.43, 4 Sr 3.43

## Properties
V ... 124.2 Å³/cell
Energy of formation ... -0.273 eV per atom
Space group ... F-43m, No. 216

Entry 2:
Compound: SrCeCdIn
Source: Alexandria
Functional: GGA-PBE
Structure: relaxed

abc: 3.8823 3.8823 8.2237
angles: 90.00 90.00 90.00
With the nearest neighbours (Å) after each atom.
Positions (direct):
Sr 0.0000 0.0000 0.0000  4 Cd 3.50, 4 In 3.52, 4 Sr 3.88
Ce 0.0000 0.0000 0.5029  4 Cd 3.35, 4 In 3.35
Cd 0.5000 0.5000 0.7363  4 Ce 3.35, 4 Sr 3.50
In 0.5000 0.5000 0.2689  4 Ce 3.35, 4 Sr 3.52

## Properties
V ... 124.0 Å³/cell
Energy of formation ... -0.292 eV per atom
Space group ... P4mm, No. 99

Entry 3:
Compound: TbCe2Cd2In2
Source: Alexandria
Functional: GGA-PBE
Structure: relaxed

abc: 9.4629 9.4629 9.4629
angles: 29.46 29.46 29.46
With the nearest neighbours (Å) after each atom.
Positions (direct):
Tb 0.0000 0.0000 0.0000  6 In 3.26, 6 Cd 3.53
Ce 0.1435 0.1435 0.1435  3 Ce 3.05, 3 Cd 3.27
Ce 0.8565 0.8565 0.8565  3 Ce 3.05, 3 Cd 3.27
Cd 0.4134 0.4134 0.4134  3 In 2.82
Cd 0.5866 0.5866 0.5866  3 In 2.82
In 0.2702 0.2702 0.2702  3 Cd 2.82
In 0.7298 0.7298 0.7298  3 Cd 2.82

## Properties
V ... 181.4 Å³/cell
Energy of formation ... -0.208 eV per atom
Space group ... R-3m, No. 166

Entry 4:
Compound: CeThCdIn
Source: Alexandria
Functional: GGA-PBE
Structure: relaxed

abc: 5.4473 5.4473 5.4473
angles: 60.00 60.00 60.00
With the nearest neighbours (Å) after each atom.
Positions (direct):
Ce 0.0000 0.0000 0.0000  4 Cd 3.34, 4 In 3.34
Th 0.5000 0.5000 0.5000  4 Cd 3.34, 4 In 3.34
Cd 0.7500 0.7500 0.7500  4 Th 3.34, 4 Ce 3.34
In 0.2500 0.2500 0.2500  4 Th 3.34, 4 Ce 3.34

## Properties
V ... 114.3 Å³/cell
Energy of formation ... -0.176 eV per atom
Space group ... F-43m, No. 216

Entry 5:
Compound: CeThCdIn
Source: Alexandria
Functional: GGA-PBE
Structure: relaxed

abc: 5.8447 6.2274 6.2274
angles: 30.61 90.00 90.00
With the nearest neighbours (Å) after each atom.
Positions (direct):
Ce 0.0000 0.0000 0.0000  3 Th 3.13-3.31, 2 In 3.26, 2 Ce 3.29, 2 Cd 3.39
Th 0.0000 0.7393 0.7393  3 Ce 3.13-3.31, 2 Th 3.29, 2 In 3.37
Cd 0.5000 0.1426 0.1426  3 In 3.17-3.28, 2 Cd 3.29, 2 Ce 3.39, 4 Th 3.55
In 0.5000 0.8788 0.8788  3 Cd 3.17-3.28, 2 Ce 3.26, 2 In 3.29, 2 Th 3.37

## Properties
V ... 115.4 Å³/cell
Energy of formation ... 0.095 eV per atom
Space group ... Amm2, No. 38

Entry 6:
Compound: CeTiCdIn
Source: Alexandria
Functional: GGA-PBE
Structure: relaxed

abc: 5.1478 5.1478 5.1478
angles: 60.00 60.00 60.00
With the nearest neighbours (Å) after each atom.
Positions (direct):
Ce 0.0000 0.0000 0.0000  4 Cd 3.15, 4 In 3.15
Ti 0.5000 0.5000 0.5000  4 Cd 3.15, 4 In 3.15
Cd 0.7500 0.7500 0.7500  4 Ce 3.15, 4 Ti 3.15
In 0.2500 0.2500 0.2500  4 Ce 3.15, 4 Ti 3.15

## Properties
V ... 96.5 Å³/cell
Energy of formation ... -0.073 eV per atom
Space group ... F-43m, No. 216

Entry 7:
Compound: CeTm2Cd2In2
Source: Alexandria
Functional: GGA-PBE
Structure: relaxed

abc: 9.1297 9.1297 9.1297
angles: 31.76 31.76 31.76
With the nearest neighbours (Å) after each atom.
Positions (direct):
Ce 0.0000 0.0000 0.0000  6 In 3.42, 2 Tm 3.42, 6 Cd 3.68
Tm 0.1316 0.1316 0.1316  3 Cd 3.10, 4 In 3.29-3.41, 3 Tm 3.41, 1 Ce 3.42
Tm 0.8684 0.8684 0.8684  3 Cd 3.10, 4 In 3.29-3.41, 3 Tm 3.41, 1 Ce 3.42
Cd 0.4211 0.4211 0.4211  3 In 2.92, 3 Tm 3.10
Cd 0.5789 0.5789 0.5789  3 In 2.92, 3 Tm 3.10
In 0.2629 0.2629 0.2629  3 Cd 2.92
In 0.7371 0.7371 0.7371  3 Cd 2.92

## Properties
V ... 187.2 Å³/cell
Energy of formation ... -0.202 eV per atom
Space group ... R-3m, No. 166

Entry 8:
Compound: CeYCdIn
Source: Alexandria
Functional: GGA-PBE
Structure: relaxed

abc: 5.3856 5.3856 5.3856
angles: 60.00 60.00 60.00
With the nearest neighbours (Å) after each atom.
Positions (direct):
Ce 0.0000 0.0000 0.0000  4 Cd 3.30, 4 In 3.30
Y 0.5000 0.5000 0.5000  4 Cd 3.30, 4 In 3.30
Cd 0.7500 0.7500 0.7500  4 Ce 3.30, 4 Y 3.30
In 0.2500 0.2500 0.2500  4 Ce 3.30, 4 Y 3.30

## Properties
V ... 110.5 Å³/cell
Energy of formation ... -0.332 eV per atom
Space group ... F-43m, No. 216

Entry 9:
Compound: CeZrCdIn
Source: Alexandria
Functional: GGA-PBE
Structure: relaxed

abc: 5.2155 5.2155 5.2155
angles: 60.00 60.00 60.00
With the nearest neighbours (Å) after each atom.
Positions (direct):
Ce 0.0000 0.0000 0.0000  4 Cd 3.19, 4 In 3.19
Zr 0.5000 0.5000 0.5000  4 In 3.19, 4 Cd 3.19
Cd 0.2500 0.2500 0.2500  4 Zr 3.19, 4 Ce 3.19
In 0.7500 0.7500 0.7500  4 Zr 3.19, 4 Ce 3.19

## Properties
V ... 100.3 Å³/cell
Energy of formation ... -0.138 eV per atom
Space group ... F-43m, No. 216

Entry 10:
Compound: CeCdIr
Source: Alexandria
Functional: GGA-PBE
Structure: relaxed

abc: 3.7636 4.0104 9.2136
angles: 90.00 101.79 90.00
With the nearest neighbours (Å) after each atom.
Positions (direct):
Ce 0.0892 0.2500 0.1796  4 Ir 2.81
Ce 0.9108 0.7500 0.8204  4 Ir 2.81
Cd 0.2876 0.2500 0.5749  1 Ir 2.77, 4 Cd 3.06
Cd 0.7124 0.7500 0.4251  1 Ir 2.77, 4 Cd 3.06
Ir 0.4418 0.2500 0.8824  1 Cd 2.77, 4 Ce 2.81, 2 Ir 2.92
Ir 0.5582 0.7500 0.1176  1 Cd 2.77, 4 Ce 2.81, 2 Ir 2.92

## Properties
V ... 136.1 Å³/cell
Energy of formation ... -0.601 eV per atom
Space group ... P2_1/m, No. 11

Entry 11:
Compound: Ce4CdIr
Source: Alexandria
Functional: GGA-PBE
Structure: relaxed

abc: 7.5473 7.5473 5.8002
angles: 100.70 100.70 107.48
With the nearest neighbours (Å) after each atom.
Positions (direct):
Ce 0.0611 0.6761 0.9183  2 Ce 2.87-2.93, 2 Ir 2.96-2.99, 1 Cd 3.20
Ce 0.1575 0.3800 0.6369  1 Ce 2.87, 2 Ir 2.98-3.06, 1 Cd 3.20
Ce 0.3239 0.9389 0.5817  2 Ce 2.87-2.93, 2 Ir 2.96-2.99, 1 Cd 3.20
Ce 0.3800 0.1575 0.1369  1 Ce 2.87, 2 Ir 2.98-3.06, 1 Cd 3.20
Ce 0.6200 0.8425 0.8631  1 Ce 2.87, 2 Ir 2.98-3.06, 1 Cd 3.20
Ce 0.6761 0.0611 0.4183  2 Ce 2.87-2.93, 2 Ir 2.96-2.99, 1 Cd 3.20
Ce 0.8425 0.6200 0.3631  1 Ce 2.87, 2 Ir 2.98-3.06, 1 Cd 3.20
Ce 0.9389 0.3239 0.0817  2 Ce 2.87-2.93, 2 Ir 2.96-2.99, 1 Cd 3.20
Cd 0.4030 0.5970 0.2500  10 Ce 3.20-3.51
Cd 0.5970 0.4030 0.7500  10 Ce 3.20-3.51
Ir 0.0036 0.9964 0.2500  2 Ir 2.90, 8 Ce 2.96-3.06
Ir 0.9964 0.0036 0.7500  2 Ir 2.90, 8 Ce 2.96-3.06

## Properties
V ... 299.2 Å³/cell
Energy of formation ... -0.305 eV per atom
Space group ... C2/c, No. 15

Entry 12:
Compound: CeCdIr2
Source: Alexandria
Functional: GGA-PBE
Structure: relaxed

abc: 4.4089 4.4089 3.8373
angles: 90.00 90.00 90.00
With the nearest neighbours (Å) after each atom.
Positions (direct):
Ce 0.0000 0.0000 0.0000  8 Ir 2.92, 4 Cd 3.12
Cd 0.5000 0.5000 0.0000  8 Ir 2.92, 4 Ce 3.12
Ir 0.0000 0.5000 0.5000  4 Cd 2.92, 4 Ce 2.92, 4 Ir 3.12
Ir 0.5000 0.0000 0.5000  4 Cd 2.92, 4 Ce 2.92, 4 Ir 3.12

## Properties
V ... 74.6 Å³/cell
Energy of formation ... -0.415 eV per atom
Space group ... P4/mmm, No. 123

Entry 13:
Compound: Ce8CdIr2
Source: Alexandria
Functional: GGA-PBE
Structure: relaxed

abc: 7.8018 7.8018 5.5165
angles: 98.10 98.10 115.29
With the nearest neighbours (Å) after each atom.
Positions (direct):
Ce 0.0794 0.0794 0.8172  1 Ce 2.69
Ce 0.1894 0.4019 0.4376  1 Ce 2.80, 2 Ir 2.92-2.93
Ce 0.2476 0.7524 0.0000  2 Ir 2.80
Ce 0.4019 0.1894 0.4376  1 Ce 2.80, 2 Ir 2.92-2.93
Ce 0.5981 0.8106 0.5624  1 Ce 2.80, 2 Ir 2.92-2.93
Ce 0.7524 0.2476 0.0000  2 Ir 2.80
Ce 0.8106 0.5981 0.5624  1 Ce 2.80, 2 Ir 2.92-2.93
Ce 0.9206 0.9206 0.1828  1 Ce 2.69
Cd 0.5000 0.5000 0.0000  12 Ce 3.33-3.59
Ir 0.2104 0.7896 0.5000  6 Ce 2.80-2.93
Ir 0.7896 0.2104 0.5000  6 Ce 2.80-2.93

## Properties
V ... 292.9 Å³/cell
Energy of formation ... -0.259 eV per atom
Space group ... C2/m, No. 12

Entry 14:
Compound: Ce4CdIr
Source: Alexandria
Functional: GGA-PBE
Structure: relaxed

abc: 9.7457 9.7457 9.7457
angles: 60.00 60.00 60.00
With the nearest neighbours (Å) after each atom.
Positions (direct):
Ce 0.0553 0.0553 0.4447  2 Ir 2.84
Ce 0.0553 0.4447 0.0553  2 Ir 2.84
Ce 0.0553 0.4447 0.4447  2 Ir 2.84
Ce 0.1875 0.1875 0.8125  2 Cd 3.34, 10 Ce 3.52-3.65, 2 Ir 3.52
Ce 0.1875 0.8125 0.1875  2 Cd 3.34, 10 Ce 3.52-3.65, 2 Ir 3.52
Ce 0.1875 0.8125 0.8125  2 Cd 3.34, 10 Ce 3.52-3.65, 2 Ir 3.52
Ce 0.2025 0.5992 0.5992  3 Ir 2.88
Ce 0.4447 0.0553 0.0553  2 Ir 2.84
Ce 0.4447 0.0553 0.4447  2 Ir 2.84
Ce 0.4447 0.4447 0.0553  2 Ir 2.84
Ce 0.5992 0.2025 0.5992  3 Ir 2.88
Ce 0.5992 0.5992 0.2025  3 Ir 2.88
Ce 0.5992 0.5992 0.5992  3 Ir 2.88
Ce 0.8125 0.1875 0.1875  2 Cd 3.34, 10 Ce 3.52-3.65, 2 Ir 3.52
Ce 0.8125 0.1875 0.8125  2 Cd 3.34, 10 Ce 3.52-3.65, 2 Ir 3.52
Ce 0.8125 0.8125 0.1875  2 Cd 3.34, 10 Ce 3.52-3.65, 2 Ir 3.52
Cd 0.5124 0.8292 0.8292  3 Cd 3.09, 3 Ce 3.34
Cd 0.8292 0.5124 0.8292  3 Cd 3.09, 3 Ce 3.34
Cd 0.8292 0.8292 0.5124  3 Cd 3.09, 3 Ce 3.34
Cd 0.8292 0.8292 0.8292  3 Cd 3.09, 3 Ce 3.34
Ir 0.3904 0.3904 0.3904  6 Ce 2.84-2.88
Ir 0.3904 0.3904 0.8287  6 Ce 2.84-2.88
Ir 0.3904 0.8287 0.3904  6 Ce 2.84-2.88
Ir 0.8287 0.3904 0.3904  6 Ce 2.84-2.88

## Properties
V ... 654.5 Å³/cell
Energy of formation ... -0.316 eV per atom
Space group ... F-43m, No. 216